No. 1
A relaxed MgH3Ir crystal. Source: the Alexandria database, functional PBE.

a = 3.507 Å, b = 11.906 Å, c = 4.240 Å
α = 90.00°, β = 90.00°, γ = 90.00°
Space group Cmcm (No. 63)
Unique sites:
Mg1 0.000 0.146 0.250 (multiplicity 4)
H1 0.000 0.000 0.000 (multiplicity 4)
H2 0.228 0.189 0.750 (multiplicity 8)
Ir1 0.000 0.418 0.250 (multiplicity 4)

Calculated values
* DFT total energy: -4.03 eV/atom
* spin magnetization: 0.00 μB/atom


No. 2
A relaxed Mg4H3Ir crystal. Source: the Alexandria database, functional PBE.

a = 3.086 Å, b = 6.183 Å, c = 6.330 Å
α = 97.61°, β = 104.03°, γ = 104.10°
Space group P1 (No. 1)
Unique sites:
Mg1 0.000 0.000 0.000 (multiplicity 1)
Mg2 0.137 0.669 0.601 (multiplicity 1)
Mg3 0.357 0.149 0.570 (multiplicity 1)
Mg4 0.770 0.496 0.036 (multiplicity 1)
H1 0.434 0.539 0.322 (multiplicity 1)
H2 0.680 0.091 0.273 (multiplicity 1)
H3 0.977 0.360 0.604 (multiplicity 1)
Ir1 0.558 0.817 0.298 (multiplicity 1)

Calculated values
* energy above the most stable polymorph in this dataset: 55.7 meV per atom
* spin magnetization: 0.00 μB/atom


No. 3
A relaxed MgH5Ir4 crystal. Source: the Alexandria database, functional PBE.

a = 4.792 Å, b = 4.886 Å, c = 5.328 Å
α = 66.26°, β = 67.16°, γ = 60.78°
Space group P1 (No. 1)
Unique sites:
Mg1 0.000 0.000 0.000 (multiplicity 1)
H1 0.215 0.143 0.390 (multiplicity 1)
H2 0.416 0.628 0.815 (multiplicity 1)
H3 0.511 0.064 0.876 (multiplicity 1)
H4 0.533 0.308 0.155 (multiplicity 1)
H5 0.989 0.522 0.141 (multiplicity 1)
Ir1 0.185 0.757 0.538 (multiplicity 1)
Ir2 0.553 0.141 0.506 (multiplicity 1)
Ir3 0.641 0.646 0.003 (multiplicity 1)
Ir4 0.838 0.506 0.491 (multiplicity 1)

Calculated values
* DFT total energy: -5.35 eV/atom
* spin magnetization: 0.00 μB/atom


No. 4
A relaxed Mg2H3Ir4 crystal. Source: the Alexandria database, functional PBE.

a = 4.542 Å, b = 2.883 Å, c = 7.913 Å
α = 90.00°, β = 94.61°, γ = 90.00°
Space group Pm (No. 6)
Unique sites:
Mg1 0.000 0.000 0.000 (multiplicity 1)
Mg2 0.081 0.500 0.362 (multiplicity 1)
H1 0.402 0.500 0.928 (multiplicity 1)
H2 0.724 0.000 0.238 (multiplicity 1)
H3 0.992 0.500 0.779 (multiplicity 1)
Ir1 0.112 0.000 0.654 (multiplicity 1)
Ir2 0.519 0.500 0.139 (multiplicity 1)
Ir3 0.588 0.000 0.448 (multiplicity 1)
Ir4 0.596 0.500 0.737 (multiplicity 1)

Calculated values
* energy above the most stable polymorph in this dataset: 53.9 meV per atom
* spin magnetization: 0.00 μB/atom


No. 5
A relaxed MgH3Ir crystal. Source: the Alexandria database, functional PBE.

a = 10.268 Å, b = 3.492 Å, c = 4.953 Å
α = 90.00°, β = 94.29°, γ = 90.00°
Space group C2/m (No. 12)
Unique sites:
Mg1 0.123 0.000 0.327 (multiplicity 4)
H1 0.052 0.500 0.175 (multiplicity 4)
H2 0.103 0.000 0.804 (multiplicity 4)
H3 0.185 0.500 0.554 (multiplicity 4)
Ir1 0.125 0.500 0.856 (multiplicity 4)

Calculated values
* DFT total energy: -4.21 eV/atom
* spin magnetization: 0.00 μB/atom


No. 6
A relaxed MgH4Ir2 crystal. Source: the Alexandria database, functional PBE.

a = 5.880 Å, b = 7.163 Å, c = 2.963 Å
α = 90.00°, β = 90.00°, γ = 90.00°
Space group Cmm2 (No. 35)
Unique sites:
Mg1 0.000 0.000 0.000 (multiplicity 2)
H1 0.000 0.304 0.200 (multiplicity 4)
H2 0.215 0.500 0.521 (multiplicity 4)
Ir1 0.250 0.250 0.500 (multiplicity 4)

Calculated values
* energy above the most stable polymorph in this dataset: 27.8 meV per atom
* spin magnetization: 0.00 μB/atom


No. 7
A relaxed MgH8Ir2 crystal. Source: the Alexandria database, functional PBE.

a = 3.196 Å, b = 7.264 Å, c = 8.387 Å
α = 90.00°, β = 90.00°, γ = 90.00°
Space group Immm (No. 71)
Unique sites:
Mg1 0.000 0.000 0.000 (multiplicity 2)
H1 0.000 0.000 0.354 (multiplicity 4)
H2 0.000 0.344 0.361 (multiplicity 8)
H3 0.000 0.379 0.000 (multiplicity 4)
Ir1 0.000 0.188 0.500 (multiplicity 4)

Calculated values
* DFT total energy: -4.24 eV/atom
* spin magnetization: 0.00 μB/atom


No. 8
A relaxed MgH5Ir2 crystal. Source: the Alexandria database, functional PBE.

a = 3.808 Å, b = 4.352 Å, c = 4.098 Å
α = 90.00°, β = 96.70°, γ = 90.00°
Space group P2/m (No. 10)
Unique sites:
Mg1 0.000 0.000 0.000 (multiplicity 1)
H1 0.000 0.500 0.000 (multiplicity 1)
H2 0.278 0.294 0.667 (multiplicity 4)
Ir1 0.500 0.000 0.500 (multiplicity 1)
Ir2 0.500 0.500 0.000 (multiplicity 1)

Calculated values
* energy above the most stable polymorph in this dataset: 16.1 meV per atom
* spin magnetization: 0.00 μB/atom


No. 9
A relaxed MgH3Ir2 crystal. Source: the Alexandria database, functional PBE.

a = 2.777 Å, b = 4.029 Å, c = 5.488 Å
α = 94.09°, β = 104.47°, γ = 90.03°
Space group P1 (No. 1)
Unique sites:
Mg1 0.000 0.000 0.000 (multiplicity 1)
H1 0.357 0.750 0.716 (multiplicity 1)
H2 0.493 0.426 0.985 (multiplicity 1)
H3 0.829 0.288 0.662 (multiplicity 1)
Ir1 0.264 0.051 0.529 (multiplicity 1)
Ir2 0.640 0.545 0.282 (multiplicity 1)

Calculated values
* energy above the most stable polymorph in this dataset: 19.5 meV per atom
* spin magnetization: 0.00 μB/atom


No. 10
A relaxed Mg2H3Ir4 crystal. Source: the Alexandria database, functional PBE.

a = 4.188 Å, b = 3.709 Å, c = 6.646 Å
α = 90.00°, β = 105.81°, γ = 90.00°
Space group P2/m (No. 10)
Unique sites:
Mg1 0.131 0.000 0.305 (multiplicity 2)
H1 0.000 0.500 0.500 (multiplicity 1)
H2 0.358 0.000 0.649 (multiplicity 2)
Ir1 0.000 0.500 0.000 (multiplicity 1)
Ir2 0.379 0.500 0.687 (multiplicity 2)
Ir3 0.500 0.000 0.000 (multiplicity 1)

Calculated values
* energy above the most stable polymorph in this dataset: 45.3 meV per atom
* spin magnetization: 0.00 μB/atom


No. 11
A relaxed Mg5H2Ir2 crystal. Source: the Alexandria database, functional PBE.

a = 4.681 Å, b = 5.407 Å, c = 5.408 Å
α = 97.16°, β = 90.20°, γ = 90.23°
Space group P-1 (No. 2)
Unique sites:
Mg1 0.000 0.000 0.000 (multiplicity 1)
Mg2 0.256 0.164 0.532 (multiplicity 2)
Mg3 0.256 0.531 0.164 (multiplicity 2)
H1 0.466 0.842 0.843 (multiplicity 2)
Ir1 0.237 0.666 0.666 (multiplicity 2)

Calculated values
* energy above the most stable polymorph in this dataset: 0.0 meV per atom
* spin magnetization: 0.00 μB/atom


No. 12
A relaxed MgH2Ir4 crystal. Source: the Alexandria database, functional PBE.

a = 4.342 Å, b = 5.494 Å, c = 7.281 Å
α = 90.00°, β = 90.00°, γ = 90.00°
Space group Imm2 (No. 44)
Unique sites:
Mg1 0.000 0.000 0.000 (multiplicity 2)
H1 0.245 0.500 0.762 (multiplicity 4)
Ir1 0.000 0.000 0.645 (multiplicity 2)
Ir2 0.000 0.262 0.310 (multiplicity 4)
Ir3 0.000 0.500 0.973 (multiplicity 2)

Calculated values
* energy above the most stable polymorph in this dataset: 8.7 meV per atom
* spin magnetization: 0.00 μB/atom